i:
VASP calculation (PBE-GGA) on an optimized crystal structure of TaCu2Tc.

The structure in CIF format:
```
data_TaCu2Tc
_chemical_formula_sum 'Ta1 Cu2 Tc1'
_symmetry_space_group_name_H-M 'P 1'
_symmetry_Int_Tables_number 1
_cell_length_a 4.309
_cell_length_b 4.309
_cell_length_c 4.309
_cell_angle_alpha 60.00
_cell_angle_beta 60.00
_cell_angle_gamma 60.00
loop_
_symmetry_equiv_pos_as_xyz
'x,y,z'
loop_
_atom_site_label
_atom_site_fract_x
_atom_site_fract_y
_atom_site_fract_z
Ta1 0.000 0.000 0.000
Cu1 0.250 0.250 0.250
Cu2 0.750 0.750 0.750
Tc1 0.500 0.500 0.500
```

***

ii:
VASP calculation (PBE-GGA) on an optimized crystal structure of TaCu2Tc.

The structure in CIF format:
```
data_TaCu2Tc
_chemical_formula_sum 'Ta1 Cu2 Tc1'
_symmetry_space_group_name_H-M 'P 1'
_symmetry_Int_Tables_number 1
_cell_length_a 2.654
_cell_length_b 2.654
_cell_length_c 8.061
_cell_angle_alpha 90.00
_cell_angle_beta 90.00
_cell_angle_gamma 90.00
loop_
_symmetry_equiv_pos_as_xyz
'x,y,z'
loop_
_atom_site_label
_atom_site_fract_x
_atom_site_fract_y
_atom_site_fract_z
Ta1 0.000 0.000 0.000
Cu1 0.500 0.500 0.257
Cu2 0.500 0.500 0.743
Tc1 0.000 0.000 0.500
```

***

iii:
VASP calculation (PBE-GGA) on an optimized crystal structure of TaCu2Tc.

The structure in CIF format:
```
data_TaCu2Tc
_chemical_formula_sum 'Ta1 Cu2 Tc1'
_symmetry_space_group_name_H-M 'P 1'
_symmetry_Int_Tables_number 1
_cell_length_a 9.170
_cell_length_b 9.170
_cell_length_c 9.170
_cell_angle_alpha 17.10
_cell_angle_beta 17.10
_cell_angle_gamma 17.10
loop_
_symmetry_equiv_pos_as_xyz
'x,y,z'
loop_
_atom_site_label
_atom_site_fract_x
_atom_site_fract_y
_atom_site_fract_z
Ta1 0.000 0.000 0.000
Cu1 0.247 0.247 0.247
Cu2 0.753 0.753 0.753
Tc1 0.500 0.500 0.500
```

***

iv:
VASP calculation (PBE-GGA) on an optimized crystal structure of TaCu2Tc.

The structure in CIF format:
```
data_TaCu2Tc
_chemical_formula_sum 'Ta1 Cu2 Tc1'
_symmetry_space_group_name_H-M 'P 1'
_symmetry_Int_Tables_number 1
_cell_length_a 2.692
_cell_length_b 4.043
_cell_length_c 5.210
_cell_angle_alpha 90.00
_cell_angle_beta 90.45
_cell_angle_gamma 90.00
loop_
_symmetry_equiv_pos_as_xyz
'x,y,z'
loop_
_atom_site_label
_atom_site_fract_x
_atom_site_fract_y
_atom_site_fract_z
Ta1 0.000 0.000 0.000
Cu1 0.500 0.500 0.258
Cu2 0.500 0.500 0.742
Tc1 0.000 0.000 0.500
```

***

The data favor iv; the next most stable structure lies 9.7 kJ/mol of atoms above it.

***

i:
VASP calculation (PBE-GGA) on an optimized crystal structure of TaCu2Tc.

The structure in CIF format:
```
data_TaCu2Tc
_chemical_formula_sum 'Ta1 Cu2 Tc1'
_symmetry_space_group_name_H-M 'P 1'
_symmetry_Int_Tables_number 1
_cell_length_a 4.789
_cell_length_b 4.789
_cell_length_c 2.702
_cell_angle_alpha 90.00
_cell_angle_beta 90.00
_cell_angle_gamma 113.82
loop_
_symmetry_equiv_pos_as_xyz
'x,y,z'
loop_
_atom_site_label
_atom_site_fract_x
_atom_site_fract_y
_atom_site_fract_z
Ta1 0.000 0.000 0.000
Cu1 0.000 0.500 0.500
Cu2 0.500 0.000 0.500
Tc1 0.500 0.500 0.000
```

***

ii:
VASP calculation (PBE-GGA) on an optimized crystal structure of TaCu2Tc.

The structure in CIF format:
```
data_TaCu2Tc
_chemical_formula_sum 'Ta1 Cu2 Tc1'
_symmetry_space_group_name_H-M 'P 1'
_symmetry_Int_Tables_number 1
_cell_length_a 3.225
_cell_length_b 3.225
_cell_length_c 5.569
_cell_angle_alpha 90.00
_cell_angle_beta 90.00
_cell_angle_gamma 90.00
loop_
_symmetry_equiv_pos_as_xyz
'x,y,z'
loop_
_atom_site_label
_atom_site_fract_x
_atom_site_fract_y
_atom_site_fract_z
Ta1 0.000 0.000 0.000
Cu1 0.000 0.000 0.514
Cu2 0.500 0.500 0.719
Tc1 0.500 0.500 0.239
```

***

iii:
VASP calculation (PBE-GGA) on an optimized crystal structure of TaCu2Tc.

The structure in CIF format:
```
data_TaCu2Tc
_chemical_formula_sum 'Ta1 Cu2 Tc1'
_symmetry_space_group_name_H-M 'P 1'
_symmetry_Int_Tables_number 1
_cell_length_a 2.723
_cell_length_b 2.723
_cell_length_c 7.678
_cell_angle_alpha 90.00
_cell_angle_beta 90.00
_cell_angle_gamma 90.00
loop_
_symmetry_equiv_pos_as_xyz
'x,y,z'
loop_
_atom_site_label
_atom_site_fract_x
_atom_site_fract_y
_atom_site_fract_z
Ta1 0.000 0.000 0.000
Cu1 0.000 0.000 0.529
Cu2 0.500 0.500 0.745
Tc1 0.500 0.500 0.292
```

***

The data favor ii; the next most stable structure lies 10.3 kJ/mol of atoms above it.

***

i:
VASP calculation (PBE-GGA) on an optimized crystal structure of TaCu2Tc.

The structure in CIF format:
```
data_TaCu2Tc
_chemical_formula_sum 'Ta1 Cu2 Tc1'
_symmetry_space_group_name_H-M 'P 1'
_symmetry_Int_Tables_number 1
_cell_length_a 2.696
_cell_length_b 2.696
_cell_length_c 8.271
_cell_angle_alpha 90.00
_cell_angle_beta 90.00
_cell_angle_gamma 105.29
loop_
_symmetry_equiv_pos_as_xyz
'x,y,z'
loop_
_atom_site_label
_atom_site_fract_x
_atom_site_fract_y
_atom_site_fract_z
Ta1 0.000 0.000 0.000
Cu1 0.000 0.000 0.487
Cu2 0.500 0.500 0.259
Tc1 0.500 0.500 0.735
```

***

ii:
VASP calculation (PBE-GGA) on an optimized crystal structure of TaCu2Tc.

The structure in CIF format:
```
data_TaCu2Tc
_chemical_formula_sum 'Ta1 Cu2 Tc1'
_symmetry_space_group_name_H-M 'P 1'
_symmetry_Int_Tables_number 1
_cell_length_a 4.902
_cell_length_b 4.902
_cell_length_c 4.902
_cell_angle_alpha 135.89
_cell_angle_beta 135.73
_cell_angle_gamma 64.28
loop_
_symmetry_equiv_pos_as_xyz
'x,y,z'
loop_
_atom_site_label
_atom_site_fract_x
_atom_site_fract_y
_atom_site_fract_z
Ta1 0.000 0.000 0.000
Cu1 0.250 0.750 0.500
Cu2 0.750 0.250 0.500
Tc1 0.500 0.500 0.000
```

***

iii:
VASP calculation (PBE-GGA) on an optimized crystal structure of TaCu2Tc.

The structure in CIF format:
```
data_TaCu2Tc
_chemical_formula_sum 'Ta1 Cu2 Tc1'
_symmetry_space_group_name_H-M 'P 1'
_symmetry_Int_Tables_number 1
_cell_length_a 4.683
_cell_length_b 4.683
_cell_length_c 4.875
_cell_angle_alpha 97.35
_cell_angle_beta 97.35
_cell_angle_gamma 32.71
loop_
_symmetry_equiv_pos_as_xyz
'x,y,z'
loop_
_atom_site_label
_atom_site_fract_x
_atom_site_fract_y
_atom_site_fract_z
Ta1 0.000 0.000 0.000
Cu1 0.494 0.494 0.488
Cu2 0.750 0.750 0.262
Tc1 0.238 0.238 0.739
```

***

The data favor ii; the next most stable structure lies 10.6 kJ/mol of atoms above it.

***

i:
VASP calculation (PBE-GGA) on an optimized crystal structure of TaCuTe3.

The structure in CIF format:
```
data_TaCuTe3
_chemical_formula_sum 'Ta1 Cu1 Te3'
_symmetry_space_group_name_H-M 'P 1'
_symmetry_Int_Tables_number 1
_cell_length_a 5.380
_cell_length_b 5.380
_cell_length_c 5.380
_cell_angle_alpha 90.00
_cell_angle_beta 90.00
_cell_angle_gamma 90.00
loop_
_symmetry_equiv_pos_as_xyz
'x,y,z'
loop_
_atom_site_label
_atom_site_fract_x
_atom_site_fract_y
_atom_site_fract_z
Ta1 0.000 0.000 0.000
Cu1 0.500 0.500 0.500
Te1 0.000 0.000 0.500
Te2 0.000 0.500 0.000
Te3 0.500 0.000 0.000
```

***

ii:
VASP calculation (PBE-GGA) on an optimized crystal structure of TaCuTe3.

The structure in CIF format:
```
data_TaCuTe3
_chemical_formula_sum 'Ta1 Cu1 Te3'
_symmetry_space_group_name_H-M 'P 1'
_symmetry_Int_Tables_number 1
_cell_length_a 4.988
_cell_length_b 4.988
_cell_length_c 4.988
_cell_angle_alpha 90.00
_cell_angle_beta 90.00
_cell_angle_gamma 90.00
loop_
_symmetry_equiv_pos_as_xyz
'x,y,z'
loop_
_atom_site_label
_atom_site_fract_x
_atom_site_fract_y
_atom_site_fract_z
Ta1 0.000 0.000 0.000
Cu1 0.500 0.500 0.500
Te1 0.000 0.500 0.500
Te2 0.500 0.000 0.500
Te3 0.500 0.500 0.000
```

***

iii:
VASP calculation (PBE-GGA) on an optimized crystal structure of TaCuTe3.

The structure in CIF format:
```
data_TaCuTe3
_chemical_formula_sum 'Ta2 Cu2 Te6'
_symmetry_space_group_name_H-M 'P 1'
_symmetry_Int_Tables_number 1
_cell_length_a 6.522
_cell_length_b 3.650
_cell_length_c 11.277
_cell_angle_alpha 90.00
_cell_angle_beta 98.45
_cell_angle_gamma 90.00
loop_
_symmetry_equiv_pos_as_xyz
'x,y,z'
loop_
_atom_site_label
_atom_site_fract_x
_atom_site_fract_y
_atom_site_fract_z
Ta1 0.157 0.250 0.458
Ta2 0.843 0.750 0.542
Cu1 0.451 0.250 0.850
Cu2 0.549 0.750 0.150
Te1 0.071 0.250 0.699
Te2 0.294 0.250 0.049
Te3 0.446 0.750 0.376
Te4 0.554 0.250 0.624
Te5 0.706 0.750 0.951
Te6 0.929 0.750 0.301
```

***

The data favor iii; the next most stable structure lies 62.3 kJ/mol of atoms above it.

***

i:
VASP calculation (PBE-GGA) on an optimized crystal structure of TaTi2Cu2.

The structure in CIF format:
```
data_TaTi2Cu2
_chemical_formula_sum 'Ta2 Ti4 Cu4'
_symmetry_space_group_name_H-M 'P 1'
_symmetry_Int_Tables_number 1
_cell_length_a 7.319
_cell_length_b 7.319
_cell_length_c 2.889
_cell_angle_alpha 90.00
_cell_angle_beta 90.00
_cell_angle_gamma 90.00
loop_
_symmetry_equiv_pos_as_xyz
'x,y,z'
loop_
_atom_site_label
_atom_site_fract_x
_atom_site_fract_y
_atom_site_fract_z
Ta1 0.000 0.000 0.000
Ta2 0.500 0.500 0.000
Ti1 0.159 0.341 0.000
Ti2 0.341 0.841 0.000
Ti3 0.659 0.159 0.000
Ti4 0.841 0.659 0.000
Cu1 0.135 0.635 0.500
Cu2 0.365 0.135 0.500
Cu3 0.635 0.865 0.500
Cu4 0.865 0.365 0.500
```

***

ii:
VASP calculation (PBE-GGA) on an optimized crystal structure of TaTi2Cu2.

The structure in CIF format:
```
data_TaTi2Cu2
_chemical_formula_sum 'Ta2 Ti4 Cu4'
_symmetry_space_group_name_H-M 'P 1'
_symmetry_Int_Tables_number 1
_cell_length_a 7.259
_cell_length_b 7.259
_cell_length_c 2.907
_cell_angle_alpha 90.00
_cell_angle_beta 90.00
_cell_angle_gamma 90.00
loop_
_symmetry_equiv_pos_as_xyz
'x,y,z'
loop_
_atom_site_label
_atom_site_fract_x
_atom_site_fract_y
_atom_site_fract_z
Ta1 0.000 0.000 0.000
Ta2 0.500 0.500 0.000
Ti1 0.177 0.323 0.500
Ti2 0.323 0.823 0.500
Ti3 0.677 0.177 0.500
Ti4 0.823 0.677 0.500
Cu1 0.120 0.620 0.000
Cu2 0.380 0.120 0.000
Cu3 0.620 0.880 0.000
Cu4 0.880 0.380 0.000
```

***

The data favor ii; the next most stable structure lies 11.0 kJ/mol of atoms above it.

***

i:
VASP calculation (PBE-GGA) on an optimized crystal structure of TaVCu2.

The structure in CIF format:
```
data_TaVCu2
_chemical_formula_sum 'Ta1 V1 Cu2'
_symmetry_space_group_name_H-M 'P 1'
_symmetry_Int_Tables_number 1
_cell_length_a 4.308
_cell_length_b 4.308
_cell_length_c 4.308
_cell_angle_alpha 60.00
_cell_angle_beta 60.00
_cell_angle_gamma 60.00
loop_
_symmetry_equiv_pos_as_xyz
'x,y,z'
loop_
_atom_site_label
_atom_site_fract_x
_atom_site_fract_y
_atom_site_fract_z
Ta1 0.000 0.000 0.000
V1 0.500 0.500 0.500
Cu1 0.250 0.250 0.250
Cu2 0.750 0.750 0.750
```

***

ii:
VASP calculation (PBE-GGA) on an optimized crystal structure of TaVCu2.

The structure in CIF format:
```
data_TaVCu2
_chemical_formula_sum 'Ta2 V2 Cu4'
_symmetry_space_group_name_H-M 'P 1'
_symmetry_Int_Tables_number 1
_cell_length_a 5.491
_cell_length_b 5.491
_cell_length_c 5.491
_cell_angle_alpha 101.53
_cell_angle_beta 101.53
_cell_angle_gamma 126.90
loop_
_symmetry_equiv_pos_as_xyz
'x,y,z'
loop_
_atom_site_label
_atom_site_fract_x
_atom_site_fract_y
_atom_site_fract_z
Ta1 0.000 0.000 0.000
Ta2 0.750 0.250 0.500
V1 0.250 0.750 0.500
V2 0.500 0.500 0.000
Cu1 0.141 0.125 0.516
Cu2 0.375 0.859 0.984
Cu3 0.609 0.625 0.484
Cu4 0.875 0.391 0.016
```

***

The data favor i; the next most stable structure lies 28.7 kJ/mol of atoms above it.

***

i:
VASP calculation (PBE-GGA) on an optimized crystal structure of TaV2Cu2.

The structure in CIF format:
```
data_TaV2Cu2
_chemical_formula_sum 'Ta2 V4 Cu4'
_symmetry_space_group_name_H-M 'P 1'
_symmetry_Int_Tables_number 1
_cell_length_a 7.340
_cell_length_b 7.340
_cell_length_c 2.603
_cell_angle_alpha 90.00
_cell_angle_beta 90.00
_cell_angle_gamma 90.00
loop_
_symmetry_equiv_pos_as_xyz
'x,y,z'
loop_
_atom_site_label
_atom_site_fract_x
_atom_site_fract_y
_atom_site_fract_z
Ta1 0.000 0.000 0.000
Ta2 0.500 0.500 0.000
V1 0.177 0.323 0.500
V2 0.323 0.823 0.500
V3 0.677 0.177 0.500
V4 0.823 0.677 0.500
Cu1 0.119 0.619 0.000
Cu2 0.381 0.119 0.000
Cu3 0.619 0.881 0.000
Cu4 0.881 0.381 0.000
```

***

ii:
VASP calculation (PBE-GGA) on an optimized crystal structure of TaV2Cu2.

The structure in CIF format:
```
data_TaV2Cu2
_chemical_formula_sum 'Ta2 V4 Cu4'
_symmetry_space_group_name_H-M 'P 1'
_symmetry_Int_Tables_number 1
_cell_length_a 7.296
_cell_length_b 7.296
_cell_length_c 2.640
_cell_angle_alpha 90.00
_cell_angle_beta 90.00
_cell_angle_gamma 90.00
loop_
_symmetry_equiv_pos_as_xyz
'x,y,z'
loop_
_atom_site_label
_atom_site_fract_x
_atom_site_fract_y
_atom_site_fract_z
Ta1 0.000 0.000 0.000
Ta2 0.500 0.500 0.000
V1 0.114 0.386 0.000
V2 0.386 0.886 0.000
V3 0.614 0.114 0.000
V4 0.886 0.614 0.000
Cu1 0.181 0.681 0.500
Cu2 0.319 0.181 0.500
Cu3 0.681 0.819 0.500
Cu4 0.819 0.319 0.500
```

***

The data favor i; the next most stable structure lies 5.3 kJ/mol of atoms above it.

***

i:
VASP calculation (PBE-GGA) on an optimized crystal structure of Ta2VCu.

The structure in CIF format:
```
data_Ta2VCu
_chemical_formula_sum 'Ta2 V1 Cu1'
_symmetry_space_group_name_H-M 'P 1'
_symmetry_Int_Tables_number 1
_cell_length_a 4.349
_cell_length_b 4.349
_cell_length_c 3.277
_cell_angle_alpha 90.00
_cell_angle_beta 90.00
_cell_angle_gamma 90.00
loop_
_symmetry_equiv_pos_as_xyz
'x,y,z'
loop_
_atom_site_label
_atom_site_fract_x
_atom_site_fract_y
_atom_site_fract_z
Ta1 0.000 0.500 0.000
Ta2 0.500 0.000 0.000
V1 0.000 0.000 0.500
Cu1 0.500 0.500 0.500
```

***

ii:
VASP calculation (PBE-GGA) on an optimized crystal structure of Ta2VCu.

The structure in CIF format:
```
data_Ta2VCu
_chemical_formula_sum 'Ta2 V1 Cu1'
_symmetry_space_group_name_H-M 'P 1'
_symmetry_Int_Tables_number 1
_cell_length_a 4.450
_cell_length_b 4.450
_cell_length_c 4.450
_cell_angle_alpha 60.00
_cell_angle_beta 60.00
_cell_angle_gamma 60.00
loop_
_symmetry_equiv_pos_as_xyz
'x,y,z'
loop_
_atom_site_label
_atom_site_fract_x
_atom_site_fract_y
_atom_site_fract_z
Ta1 0.250 0.250 0.250
Ta2 0.750 0.750 0.750
V1 0.000 0.000 0.000
Cu1 0.500 0.500 0.500
```

***

iii:
VASP calculation (PBE-GGA) on an optimized crystal structure of Ta2VCu.

The structure in CIF format:
```
data_Ta2VCu
_chemical_formula_sum 'Ta2 V1 Cu1'
_symmetry_space_group_name_H-M 'P 1'
_symmetry_Int_Tables_number 1
_cell_length_a 3.216
_cell_length_b 3.216
_cell_length_c 6.015
_cell_angle_alpha 90.00
_cell_angle_beta 90.00
_cell_angle_gamma 90.00
loop_
_symmetry_equiv_pos_as_xyz
'x,y,z'
loop_
_atom_site_label
_atom_site_fract_x
_atom_site_fract_y
_atom_site_fract_z
Ta1 0.000 0.000 0.246
Ta2 0.000 0.000 0.754
V1 0.500 0.500 0.000
Cu1 0.500 0.500 0.500
```

***

The data favor iii; the next most stable structure lies 3.3 kJ/mol of atoms above it.